Here is an optimized crystal structure of PmGaI from the Alexandria database. Energies are from PBE.

The structure in POSCAR format:
```
PmGaI
1.0
3.7059 -2.1400 0.0000
3.7059 2.1400 0.0000
-0.2535 0.0000 12.2807
Pm Ga I
2 2 2
Direct
0.0059 0.0059 0.1694 Pm
0.9941 0.9941 0.8306 Pm
0.3342 0.3342 0.0250 Ga
0.6658 0.6658 0.9750 Ga
0.3218 0.3218 0.6642 I
0.6782 0.6782 0.3358 I
```

Computed properties:
Offset from the most stable computed form: 0 meV per atom
E_form (uncorrected): -1.078 eV per atom
M_tot: 0.0 μB per formula unit
DOS at the Fermi energy: 2.15 states/eV/cell

***

Here is an optimized crystal structure of ZnRe3 from the Alexandria database. Energies are from PBE.

The structure in POSCAR format:
```
ZnRe3
1.0
0.0000 3.0924 3.0924
3.0924 0.0000 3.0924
3.0924 3.0924 0.0000
Zn Re
1 3
Direct
0.0000 0.0000 0.0000 Zn
0.2500 0.2500 0.2500 Re
0.5000 0.5000 0.5000 Re
0.7500 0.7500 0.7500 Re
```

Computed properties:
E_form: 0.300 eV/atom
M_tot: 0.0 μB per formula unit
DOS at the Fermi energy: 2.83 states/eV/cell

***

Here is an optimized crystal structure of ScCdBr2 from the Alexandria database. Energies are from PBE.

The structure in POSCAR format:
```
ScCdBr2
1.0
-2.1295 2.1295 5.5139
2.1295 -2.1295 5.5139
2.1295 2.1295 -5.5139
Sc Cd Br
1 1 2
Direct
0.0000 0.0000 0.0000 Sc
0.7500 0.2500 0.5000 Cd
0.2500 0.7500 0.5000 Br
0.5000 0.5000 0.0000 Br
```

Computed properties:
Offset from the most stable computed form: 589 meV per atom
E_form (uncorrected): -0.419 eV per atom
M_tot: 0.0 μB per formula unit
DOS at the Fermi energy: 3.29 states/eV/cell

***

Here is an optimized crystal structure of BaSb6 from the Alexandria database. Energies are from PBE.

The structure in POSCAR format:
```
BaSb6
1.0
-4.2224 4.2224 4.2224
4.2224 -4.2224 4.2224
4.2224 4.2224 -4.2224
Ba Sb
1 6
Direct
0.0000 0.0000 0.0000 Ba
0.2500 0.5000 0.7500 Sb
0.2500 0.7500 0.5000 Sb
0.5000 0.2500 0.7500 Sb
0.5000 0.7500 0.2500 Sb
0.7500 0.2500 0.5000 Sb
0.7500 0.5000 0.2500 Sb
```

Computed properties:
E_form (uncorrected): 0.112 eV per atom
M_tot: 0.0 μB per formula unit
DOS at the Fermi energy: 6.30 states/eV/cell

***

Here is an optimized crystal structure of Zn2CoIr from the Alexandria database. Energies are from PBE.

The structure in POSCAR format:
```
Zn2CoIr
1.0
2.7383 0.0000 0.0000
0.0000 3.6474 0.0000
0.0000 0.0000 5.3725
Zn Co Ir
2 1 1
Direct
0.0000 0.0000 0.0000 Zn
0.5000 0.5000 0.2569 Zn
0.0000 0.0000 0.5075 Co
0.5000 0.5000 0.7413 Ir
```

Computed properties:
E_form: -0.026 eV/atom
M_tot: 1.8 μB per formula unit
DOS at the Fermi energy: 3.00 states/eV/cell

***

Here is an optimized crystal structure of LaSbTe2S from the Alexandria database. Energies are from PBE.

The structure in POSCAR format:
```
LaSbTe2S
1.0
5.2872 0.0000 0.0000
0.0000 5.2872 0.0000
0.0000 0.0000 5.2836
La Sb Te S
1 1 2 1
Direct
0.0000 0.0000 0.0000 La
0.5000 0.5000 0.0000 Sb
0.0000 0.5000 0.5000 Te
0.5000 0.0000 0.5000 Te
0.5000 0.5000 0.5000 S
```

Computed properties:
Offset from the most stable computed form: 0 meV per atom
E_form (uncorrected): -0.368 eV per atom
M_tot: 0.0 μB per formula unit
DOS at the Fermi energy: 2.17 states/eV/cell

***

Here is an optimized crystal structure of Tb3SnRh4 from the Alexandria database. Energies are from PBE.

The structure in POSCAR format:
```
Tb3SnRh4
1.0
2.3954 1.3830 7.8359
-2.3954 1.3830 7.8359
0.0000 -2.7660 7.8359
Tb Sn Rh
3 1 4
Direct
0.0000 0.0000 0.0000 Tb
0.2456 0.2456 0.2456 Tb
0.7544 0.7544 0.7544 Tb
0.5000 0.5000 0.5000 Sn
0.1245 0.1245 0.1245 Rh
0.3772 0.3772 0.3772 Rh
0.6228 0.6228 0.6228 Rh
0.8755 0.8755 0.8755 Rh
```

Computed properties:
E_form: -0.793 eV/atom
M_tot: 0.0 μB per formula unit
DOS at the Fermi energy: 6.46 states/eV/cell

***

Here is an optimized crystal structure of AsOs from the Alexandria database. Energies are from PBE.

The structure in POSCAR format:
```
AsOs
1.0
3.9166 0.0000 0.0000
-1.9583 3.3919 0.0000
0.0000 0.0000 6.3048
As Os
2 2
Direct
0.3333 0.6667 0.0000 As
0.6667 0.3333 0.5000 As
0.3333 0.6667 0.3795 Os
0.6667 0.3333 0.8795 Os
```

Computed properties:
E_form: 0.599 eV/atom
M_tot: 0.0 μB per formula unit
DOS at the Fermi energy: 2.71 states/eV/cell

***

Here is an optimized crystal structure of RePIr2 from the Alexandria database. Energies are from PBE.

The structure in POSCAR format:
```
RePIr2
1.0
2.8257 0.0000 0.0000
0.0000 4.0099 0.0000
-1.3396 0.0000 5.0110
Re P Ir
1 1 2
Direct
0.0000 0.0000 0.0000 Re
0.0000 0.0000 0.5000 P
0.3608 0.5000 0.7398 Ir
0.6392 0.5000 0.2602 Ir
```

Computed properties:
E_form: 0.003 eV/atom
M_tot: 0.0 μB per formula unit
DOS at the Fermi energy: 2.82 states/eV/cell

***

Here is an optimized crystal structure of Pr4Sm3Al4 from the Alexandria database. Energies are from PBE.

The structure in POSCAR format:
```
Pr4Sm3Al4
1.0
-1.8148 4.6724 9.5238
1.8148 -4.6724 9.5238
1.8148 4.6724 -9.5238
Pr Sm Al
4 3 4
Direct
0.0115 0.8341 0.1774 Pr
0.3433 0.1659 0.1774 Pr
0.6567 0.8341 0.8226 Pr
0.9885 0.1659 0.8226 Pr
0.0000 0.5000 0.5000 Sm
0.4063 0.4063 0.0000 Sm
0.5937 0.5937 0.0000 Sm
0.2755 0.7755 0.5000 Al
0.2789 0.0000 0.2789 Al
0.7211 0.0000 0.7211 Al
0.7245 0.2245 0.5000 Al
```

Computed properties:
E_form: -0.211 eV/atom
M_tot: 0.0 μB per formula unit
DOS at the Fermi energy: 10.43 states/eV/cell

***

Here is an optimized crystal structure of SmEr3Th from the Alexandria database. Energies are from PBE.

The structure in POSCAR format:
```
SmEr3Th
1.0
6.2496 0.0000 0.0000
3.1234 5.9659 0.0000
0.0244 3.2636 8.5743
Sm Er Th
2 6 2
Direct
0.1351 0.4036 0.3481 Sm
0.8649 0.5964 0.6519 Sm
0.0587 0.2016 0.0524 Er
0.2711 0.7995 0.4544 Er
0.3372 0.9975 0.7568 Er
0.6628 0.0025 0.2432 Er
0.7289 0.2005 0.5456 Er
0.9413 0.7984 0.9476 Er
0.4734 0.4023 0.8477 Th
0.5266 0.5977 0.1523 Th
```

Computed properties:
Offset from the most stable computed form: 0 meV per atom
E_form: 0.032 eV/atom
M_tot: 0.0 μB per formula unit
DOS at the Fermi energy: 16.54 states/eV/cell

***

Here is an optimized crystal structure of SrCe2In6 from the Alexandria database. Energies are from PBE.

The structure in POSCAR format:
```
SrCe2In6
1.0
8.8548 0.0000 0.0000
-4.4274 7.6684 0.0000
0.0000 0.0000 3.6717
Sr Ce In
1 2 6
Direct
0.0000 0.0000 0.0000 Sr
0.3333 0.6667 0.0000 Ce
0.6667 0.3333 0.0000 Ce
0.0000 0.3367 0.5000 In
0.0000 0.6633 0.5000 In
0.3367 0.0000 0.5000 In
0.3367 0.3367 0.5000 In
0.6633 0.0000 0.5000 In
0.6633 0.6633 0.5000 In
```

Computed properties:
E_form: -0.362 eV/atom
M_tot: 1.7 μB per formula unit
DOS at the Fermi energy: 13.92 states/eV/cell